# 1
## Dy2AlCoIr (PBE-GGA)

Data for an optimized crystal structure of Dy2AlCoIr.

Unit cell a=5.4650 b=5.4650 c=5.4650 alpha=136.26 beta=78.75 gamma=118.20
Element x y z (fractional)
1 Al 0.0102 0.0102 0.0000
2 Co 0.2643 0.7643 0.5000
3 Dy 0.7033 0.5002 0.2031
4 Dy 0.2971 0.5002 0.7969
5 Ir 0.7252 0.2252 0.5000

Values from the calculation:
For the total energy, the calculation gives -6.45 eV per atom. As for the space group: Imm2.

---

# 2
## YCdPd2 (PBE-GGA)

Data for an optimized crystal structure of YCdPd2.

Unit cell a=3.5496 b=3.5496 c=6.2123 alpha=90.00 beta=90.00 gamma=90.00
Element x y z (fractional)
1 Cd 0.0000 0.0000 0.0000
2 Pd 0.5000 0.5000 0.2384
3 Pd 0.5000 0.5000 0.7616
4 Y 0.0000 0.0000 0.5000

Values from the calculation:
Its formation energy is -268 kJ/mol of formula units. For the total energy, the calculation gives -5.12 eV per atom. As for the space group: P4/mmm.

---

# 3
## Tl2CdPtBr6 (PBE-GGA)

Data for an optimized crystal structure of Tl2CdPtBr6.

Unit cell a=7.6403 b=7.6403 c=7.6403 alpha=60.00 beta=60.00 gamma=60.00
Element x y z (fractional)
1 Br 0.7597 0.2403 0.2403
2 Br 0.2403 0.7597 0.2403
3 Br 0.7597 0.7597 0.2403
4 Br 0.2403 0.2403 0.7597
5 Br 0.7597 0.2403 0.7597
6 Br 0.2403 0.7597 0.7597
7 Cd 0.5000 0.5000 0.5000
8 Pt 0.0000 0.0000 0.0000
9 Tl 0.2500 0.2500 0.2500
10 Tl 0.7500 0.7500 0.7500

Values from the calculation:
For the total energy, the calculation gives -2.71 eV per atom. As for the space group: Fm-3m.

---

# 4
## LaTmAsO (PBE-GGA)

Data for an optimized crystal structure of LaTmAsO.

Unit cell a=4.4351 b=7.4025 c=6.2348 alpha=90.00 beta=90.00 gamma=90.00
Element x y z (fractional)
1 As 0.0000 0.3073 0.4271
2 As 0.0000 0.6927 0.9271
3 La 0.0000 0.7080 0.4348
4 La 0.0000 0.2920 0.9348
5 O 0.5000 0.8453 0.3694
6 O 0.5000 0.1547 0.8694
7 Tm 0.5000 0.8921 0.0228
8 Tm 0.5000 0.1079 0.5228

Values from the calculation:
The energy above the most stable polymorph in this dataset comes out at 0.000 kcal/mol of atoms. For the total energy, the calculation gives -6.79 eV per atom. As for the space group: Pmc2_1.

---

# 5
## KBaSmS3 (PBE-GGA)

Data for an optimized crystal structure of KBaSmS3.

Unit cell a=9.5939 b=9.5939 c=11.8255 alpha=90.00 beta=90.00 gamma=25.83
Element x y z (fractional)
1 Ba 0.1217 0.1217 0.2500
2 Ba 0.8783 0.8783 0.7500
3 K 0.8865 0.8865 0.2500
4 K 0.1135 0.1135 0.7500
5 S 0.0990 0.0990 0.0000
6 S 0.9010 0.9010 0.0000
7 S 0.5100 0.5100 0.2500
8 S 0.0990 0.0990 0.5000
9 S 0.9010 0.9010 0.5000
10 S 0.4900 0.4900 0.7500
11 Sm 0.5000 0.5000 0.0000
12 Sm 0.5000 0.5000 0.5000

Values from the calculation:
For the total energy, the calculation gives -5.00 eV per atom. As for the space group: Cmcm.

---

# 6
## Zr2BiOs (PBE-GGA)

Data for an optimized crystal structure of Zr2BiOs.

Unit cell a=4.8832 b=4.8832 c=4.8832 alpha=60.00 beta=60.00 gamma=60.00
Site moments in Bohr magnetons follow the coordinates.
Element x y z (fractional)
1 Bi 0.5000 0.5000 0.5000  -0.01
2 Os 0.2500 0.2500 0.2500  0.04
3 Zr 0.0000 0.0000 0.0000  0.33
4 Zr 0.7500 0.7500 0.7500  0.81

Values from the calculation:
For the total energy, the calculation gives -7.89 eV per atom. As for the space group: F-43m.

---

# 7
## ThPaAg (PBE-GGA)

Data for an optimized crystal structure of ThPaAg.

Unit cell a=4.9868 b=4.9868 c=4.9868 alpha=60.00 beta=60.00 gamma=60.00
Site moments in Bohr magnetons follow the coordinates.
Element x y z (fractional)
1 Ag 0.0000 0.0000 0.0000  0.02
2 Pa 0.2500 0.2500 0.2500  0.84
3 Th 0.7500 0.7500 0.7500  0.22

Values from the calculation:
The energy above the most stable polymorph in this dataset comes out at 0.000 kcal/mol of atoms. Its formation energy is 180 kJ/mol of formula units. For the total energy, the calculation gives -5.95 eV per atom. As for the space group: F-43m.

---

# 8
## HfZrNb (PBE-GGA)

Data for an optimized crystal structure of HfZrNb.

Unit cell a=4.6546 b=4.6546 c=4.6546 alpha=60.00 beta=60.00 gamma=60.00
Element x y z (fractional)
1 Hf 0.2500 0.2500 0.2500
2 Nb 0.0000 0.0000 0.0000
3 Zr 0.7500 0.7500 0.7500

Values from the calculation:
The energy above the most stable polymorph in this dataset comes out at 0.000 kcal/mol of atoms. Its formation energy is 193 kJ/mol of formula units. For the total energy, the calculation gives -8.86 eV per atom. As for the space group: F-43m.